First-principles (PBE) data for a relaxed structure of Tb2Pr3YSe6, as listed in the Alexandria database.

a = 7.158 Å, b = 12.466 Å, c = 7.346 Å
α = 90.00°, β = 109.09°, γ = 90.00°
Space group C2/m (No. 12)
Inequivalent atoms, fractional coordinates:
Tb: 0.000 0.167 0.000
Pr: 0.000 0.000 0.500
Pr: 0.000 0.333 0.500
Y: 0.000 0.500 0.000
Se: 0.244 0.334 0.234
Se: 0.245 0.000 0.235

Computed properties:
Crystal system: monoclinic
Magnetization in μB/atom: 0.000
E in eV/atom: -6.062
D(E_F) in states/eV per atom: 0.478
E_form (uncorrected) in eV per atom: -1.814

=====

First-principles (PBE) data for a relaxed structure of Tb8SmY4, as listed in the Alexandria database.

a = 11.0422 Å, b = 11.0422 Å, c = 13.4660 Å
α = 90.00°, β = 90.00°, γ = 120.00°
Space group R-3m (No. 166, hexagonal axes)
Inequivalent atoms, fractional coordinates:
Tb: 0.0000 0.0000 0.2402
Tb: 0.0122 0.5061 0.7461
Sm: 0.0000 0.0000 0.5000
Y: 0.0000 0.0000 0.0000
Y: 0.0000 0.5000 0.0000

Computed properties:
Crystal system: trigonal
Magnetization in μB/atom: 0.001
E in eV/atom: -4.680
D(E_F) in states/eV per atom: 1.588
Calculated formation energy in eV/atom: 0.52

=====

First-principles (PBE) data for a relaxed structure of Ac4RuPb2, as listed in the Alexandria database.

a = 6.942 Å, b = 7.429 Å, c = 10.202 Å
α = 90.00°, β = 103.77°, γ = 90.00°
Space group P2_1/m (No. 11)
Inequivalent atoms, fractional coordinates:
Ac: 0.194 0.250 0.095
Ac: 0.276 0.750 0.397
Ac: 0.283 0.501 0.753
Ru: 0.478 0.250 0.342
Pb: 0.139 0.250 0.444
Pb: 0.315 0.750 0.056

Computed properties:
Crystal system: monoclinic
Magnetization in μB/atom: 0.000
E in eV/atom: -5.086
Relative energy among the computed polymorphs in kJ/mol of atoms: 3.6
D(E_F) in states/eV per atom: 0.729
Calculated formation energy in eV/atom: -0.35

=====

First-principles (PBE) data for a relaxed structure of DyNbPdRu, as listed in the Alexandria database.

a = 6.639 Å, b = 6.639 Å, c = 6.639 Å
α = 90.00°, β = 90.00°, γ = 90.00°
Space group F-43m (No. 216)
Inequivalent atoms, fractional coordinates:
Dy: 0.000 0.000 0.000
Nb: 0.000 0.000 0.500
Pd: 0.250 0.250 0.750
Ru: 0.250 0.250 0.250

Computed properties:
Crystal system: cubic
Magnetization in μB/atom: 0.000
E in eV/atom: -7.579
D(E_F) in states/eV per atom: 0.817
Calculated formation energy in eV/atom: -0.29

=====

First-principles (PBE) data for a relaxed structure of TbHo3Cd, as listed in the Alexandria database.

a = 3.683 Å, b = 17.924 Å, c = 9.545 Å
α = 90.00°, β = 90.00°, γ = 90.00°
Space group Cmcm (No. 63)
Inequivalent atoms, fractional coordinates:
Tb: 0.000 0.014 0.250
Ho: 0.000 0.201 0.250
Ho: 0.000 0.397 0.006
Cd: 0.000 0.165 0.750

Computed properties:
Crystal system: orthorhombic
Magnetization in μB/atom: 0.000
E in eV/atom: -3.791
Relative energy among the computed polymorphs in kJ/mol of atoms: 12.1
D(E_F) in states/eV per atom: 1.495
Calculated formation energy in eV/atom: 0.06

=====

First-principles (PBE) data for a relaxed structure of NaPtF2, as listed in the Alexandria database.

a = 2.8854 Å, b = 2.8854 Å, c = 23.9927 Å
α = 90.00°, β = 90.00°, γ = 120.00°
Space group R-3m (No. 166, hexagonal axes)
Inequivalent atoms, fractional coordinates:
Na: 0.0000 0.0000 0.0000
Pt: 0.0000 0.0000 0.5000
F: 0.0000 0.0000 0.0832

Computed properties:
Crystal system: trigonal
Magnetization in μB/atom: 0.219
E in eV/atom: -3.528
Relative energy among the computed polymorphs in kJ/mol of atoms: 86.4
D(E_F) in states/eV per atom: 0.843
E_form (uncorrected) in eV per atom: -0.752

=====

First-principles (PBE) data for a relaxed structure of Ce2NpSb3, as listed in the Alexandria database.

a = 4.481 Å, b = 6.309 Å, c = 13.364 Å
α = 90.00°, β = 90.00°, γ = 90.00°
Space group Immm (No. 71)
Inequivalent atoms, fractional coordinates:
Ce: 0.000 0.000 0.168
Np: 0.000 0.000 0.500
Sb: 0.000 0.500 0.164
Sb: 0.000 0.500 0.500

Computed properties:
Crystal system: orthorhombic
Magnetization in μB/atom: 0.958
E in eV/atom: -6.950
D(E_F) in states/eV per atom: 3.801
E_form (uncorrected) in eV per atom: -0.754

=====

First-principles (PBE) data for a relaxed structure of DyY5Cu4, as listed in the Alexandria database.

a = 3.486 Å, b = 3.486 Å, c = 19.116 Å
α = 90.00°, β = 90.00°, γ = 90.00°
Space group P4/mmm (No. 123)
Inequivalent atoms, fractional coordinates:
Dy: 0.000 0.000 0.000
Y: 0.500 0.500 0.135
Y: 0.500 0.500 0.317
Y: 0.500 0.500 0.500
Cu: 0.000 0.000 0.226
Cu: 0.000 0.000 0.409

Computed properties:
Crystal system: tetragonal
Magnetization in μB/atom: 0.000
E in eV/atom: -5.514
D(E_F) in states/eV per atom: 0.788
Calculated formation energy in eV/atom: -0.18

=====

First-principles (PBE) data for a relaxed structure of LiTaNi4, as listed in the Alexandria database.

a = 6.477 Å, b = 7.343 Å, c = 3.876 Å
α = 90.00°, β = 126.56°, γ = 90.00°
Space group C2/m (No. 12)
Inequivalent atoms, fractional coordinates:
Li: 0.000 0.000 0.000
Ta: 0.000 0.500 0.500
Ni: 0.238 0.161 0.738

Computed properties:
Crystal system: monoclinic
Magnetization in μB/atom: 0.000
E in eV/atom: -6.179
Relative energy among the computed polymorphs in kJ/mol of atoms: 14.8
D(E_F) in states/eV per atom: 1.235
Calculated formation energy in eV/atom: -0.03

=====

First-principles (PBE) data for a relaxed structure of InGa4Pt, as listed in the Alexandria database.

a = 4.230 Å, b = 6.908 Å, c = 8.838 Å
α = 80.98°, β = 76.73°, γ = 89.98°
Space group P-1 (No. 2)
Inequivalent atoms, fractional coordinates:
In: 0.248 0.250 0.000
Ga: 0.060 0.869 0.376
Ga: 0.155 0.556 0.195
Ga: 0.348 0.945 0.805
Ga: 0.439 0.631 0.624
Pt: 0.000 0.500 0.500
Pt: 0.500 0.000 0.500

Computed properties:
Crystal system: triclinic
Magnetization in μB/atom: 0.000
E in eV/atom: -3.699
D(E_F) in states/eV per atom: 0.327
Calculated formation energy in eV/atom: -0.22

=====

First-principles (PBE) data for a relaxed structure of Al2Si2Pd, as listed in the Alexandria database.

a = 4.018 Å, b = 4.018 Å, c = 10.439 Å
α = 90.00°, β = 90.00°, γ = 90.00°
Space group I4/mmm (No. 139)
Inequivalent atoms, fractional coordinates:
Al: 0.000 0.500 0.250
Si: 0.000 0.000 0.107
Pd: 0.000 0.000 0.500

Computed properties:
Crystal system: tetragonal
Magnetization in μB/atom: 0.000
E in eV/atom: -4.550
Relative energy among the computed polymorphs in kJ/mol of atoms: 23.3
D(E_F) in states/eV per atom: 0.321
E_form (uncorrected) in eV per atom: 0.155

=====

First-principles (PBE) data for a relaxed structure of PrDy3Er2, as listed in the Alexandria database.

a = 7.159 Å, b = 7.168 Å, c = 8.837 Å
α = 78.24°, β = 78.28°, γ = 60.15°
Space group P-1 (No. 2)
Inequivalent atoms, fractional coordinates:
Pr: 0.250 0.249 0.499
Dy: 0.139 0.640 0.163
Dy: 0.249 0.750 0.501
Dy: 0.361 0.361 0.836
Er: 0.139 0.138 0.164
Er: 0.360 0.861 0.837

Computed properties:
Crystal system: triclinic
Magnetization in μB/atom: 0.000
E in eV/atom: -4.621
Relative energy among the computed polymorphs in kJ/mol of atoms: 0.0
D(E_F) in states/eV per atom: 1.261
Calculated formation energy in eV/atom: 0.00

=====

First-principles (PBE) data for a relaxed structure of DyY2HoSc, as listed in the Alexandria database.

a = 6.324 Å, b = 15.938 Å, c = 6.331 Å
α = 90.00°, β = 90.00°, γ = 90.00°
Space group Cmcm (No. 63)
Inequivalent atoms, fractional coordinates:
Dy: 0.000 0.161 0.250
Y: 0.248 0.500 0.000
Ho: 0.000 0.250 0.750
Sc: 0.000 0.344 0.250

Computed properties:
Crystal system: orthorhombic
Magnetization in μB/atom: 0.001
E in eV/atom: -5.295
D(E_F) in states/eV per atom: 1.743
Calculated formation energy in eV/atom: 0.39

=====

First-principles (PBE) data for a relaxed structure of Na2TlCdHg4, as listed in the Alexandria database.

a = 5.2331 Å, b = 5.2331 Å, c = 26.1321 Å
α = 90.00°, β = 90.00°, γ = 120.00°
Space group R-3m (No. 166, hexagonal axes)
Inequivalent atoms, fractional coordinates:
Na: 0.0000 0.0000 0.2493
Tl: 0.0000 0.0000 0.5000
Cd: 0.0000 0.0000 0.0000
Hg: 0.0000 0.0000 0.1209
Hg: 0.0000 0.0000 0.3705

Computed properties:
Crystal system: trigonal
Magnetization in μB/atom: 0.000
E in eV/atom: -1.063
D(E_F) in states/eV per atom: 0.356
Calculated formation energy in eV/atom: -0.17